Here is a relaxed structure of Y3ScIn from the Alexandria database. Energies are from PBE.

The structure in CIF format:
```
data_Y3ScIn
_cell_length_a 4.879
_cell_length_b 6.697
_cell_length_c 9.592
_cell_angle_alpha 90.00
_cell_angle_beta 90.00
_cell_angle_gamma 90.00
_symmetry_space_group_name_H-M 'P 1'
_symmetry_Int_Tables_number 1
loop_
_symmetry_equiv_pos_as_xyz
'x,y,z'
loop_
_atom_site_label
_atom_site_type_symbol
_atom_site_fract_x
_atom_site_fract_y
_atom_site_fract_z
Sc1 Sc 0.750 0.750 0.428
Sc2 Sc 0.250 0.250 0.572
Y1 Y 0.750 0.502 0.736
Y2 Y 0.250 0.250 0.929
Y3 Y 0.250 0.002 0.264
Y4 Y 0.250 0.498 0.264
Y5 Y 0.750 0.998 0.736
Y6 Y 0.750 0.750 0.071
In1 In 0.250 0.750 0.867
In2 In 0.750 0.250 0.133
```

volume	313.5	Å³/cell
DFT formation energy	0.48	eV per formula unit
polymorph energy (0 for the lowest one)	280.8	meV per atom
M_tot	0.665	μB per formula unit
calculated total energy	-5.596	eV/atom
D(E_F)	16.9	states/eV per cell